# NaGa3 (PBE-GGA, relaxed)
data_NaGa3
_chemical_formula_sum 'Na2 Ga6'
_cell_length_a 4.2782
_cell_length_b 4.2782
_cell_length_c 8.6910
_cell_angle_alpha 90.00
_cell_angle_beta 90.00
_cell_angle_gamma 90.00
_space_group_name_H-M_alt 'I 4/m m m'
_space_group_IT_number 139
_space_group_name_Hall '-I 4 2'
loop_
_atom_site_label
_atom_site_type_symbol
_atom_site_fract_x
_atom_site_fract_y
_atom_site_fract_z
Na1 Na 0.0000 0.0000 0.0000
Ga1 Ga 0.0000 0.0000 0.5000
Ga2 Ga 0.0000 0.5000 0.2500
# - Total moment: 0.00 μB/cell
# - ΔE_f: -4 kJ/mol of formula units